{"formula": "AgGeS3", "functional": "PBE", "state": "relaxed", "lattice": [[4.820, 0.000, 0.000], [0.000, 4.820, 0.000], [0.000, 0.000, 4.820]], "species": ["S", "S", "Ag", "Ge", "S"], "frac_coords": [[0.000, 0.000, 0.500], [0.000, 0.500, 0.000], [0.000, 0.000, 0.000], [0.500, 0.500, 0.500], [0.500, 0.000, 0.000]], "dos_at_fermi_per_ev_cell": 4.7, "sg": "Pm-3m, No. 221", "relative_energy_ev_per_fu": 3.53, "raw_formation_energy_ev_per_atom": 0.7466}

{"formula": "P2IrPb", "functional": "PBE", "state": "relaxed", "lattice": [[-4.060, -2.277, 1.505], [0.721, -4.596, -1.513], [3.025, 2.775, 2.661]], "species": ["P", "Ir", "Pb", "P"], "frac_coords": [[0.250, 0.750, 0.500], [0.750, 0.250, 0.500], [0.500, 0.500, 0.000], [0.000, 0.000, 0.000]], "final_energy_ev_per_atom": -5.14, "dos_at_fermi_per_ev_cell": 1.8, "sg": "I-4m2, No. 119"}

{"formula": "BaCd2GePd2", "functional": "PBE", "state": "relaxed", "lattice": [[4.810, 0.000, 0.000], [0.000, 4.810, 0.000], [0.000, 0.000, 6.414]], "species": ["Ba", "Cd", "Pd", "Ge", "Pd", "Cd"], "frac_coords": [[0.000, 0.000, 0.500], [0.500, 0.500, 0.256], [0.000, 0.500, 0.000], [0.000, 0.000, 0.000], [0.500, 0.000, 0.000], [0.500, 0.500, 0.744]], "final_energy_ev_per_atom": -3.56, "dos_at_fermi_per_ev_cell": 1.8, "sg": "P4/mmm, No. 123"}

{"formula": "CuAgPt3", "functional": "PBE", "state": "relaxed", "lattice": [[4.880, 0.000, 0.000], [0.000, 4.880, 0.000], [0.000, 0.000, 4.880]], "species": ["Pt", "Pt", "Ag", "Cu", "Pt"], "frac_coords": [[0.000, 0.500, 0.000], [0.500, 0.000, 0.000], [0.000, 0.000, 0.000], [0.500, 0.500, 0.500], [0.000, 0.000, 0.500]], "dos_at_fermi_per_ev_cell": 4.3, "sg": "Pm-3m, No. 221", "relative_energy_ev_per_fu": 3.79}

{"formula": "Sc2MnInN", "functional": "PBE", "state": "relaxed", "lattice": [[-0.907, -2.469, 3.743], [1.088, -3.826, -2.260], [3.582, 0.364, 1.108]], "species": ["Sc", "N", "In", "Mn", "Sc"], "frac_coords": [[0.500, 0.000, 0.000], [0.000, 0.000, 0.000], [0.500, 0.500, 0.500], [0.000, 0.000, 0.500], [0.000, 0.500, 0.000]], "dos_at_fermi_per_ev_cell": 3.2, "sg": "P4/mmm, No. 123", "raw_formation_energy_ev_per_atom": -0.7527}